Here is BaTlTc2 after structural relaxation from Alexandria via LeMat-Bulk. Energies are from PBE-GGA.

Unit cell a=4.9994 b=4.9994 c=4.9994 alpha=60.00 beta=60.00 gamma=60.00
Each line ends with the local moment (μB).
Fractional positions:
Tl (0.5000, 0.5000, 0.5000)  -0.04
Ba (0.0000, 0.0000, 0.0000)  0.04
Tc (0.2500, 0.2500, 0.2500)  1.54
Tc (0.7500, 0.7500, 0.7500)  1.54

Results
ΔH_f (0 K)   1.206 eV/atom
Relative energy among the computed polymorphs   895 meV/atom
Calculated total energy   -5.05 eV per atom
Space-group type   Fm-3m